# 1
4
Lattice="4.6807 0.0122 0.0732 3.6727 2.9018 0.0732 1.1983 0.4180 5.8747" Properties=species:S:1:pos:R:3 comment="CdAsAu2 (PBE, optimized geometry)" spacegroup="C2/m (12)" n_ef_per_ev_atom=0.31 ef_ev_per_atom=0.047 rho_kg_m3=12180 polymorph_energy_kj_per_mol_fu=15.1 pbc="T T T"
Cd 7.1638 2.4990 4.5158
As 2.3879 0.8330 1.5053
Au 0.0266 0.0093 0.0709
Au 4.7493 1.6567 2.9396

***

# 2
5
Lattice="4.7994 0.0000 0.0000 0.0000 4.7994 0.0000 0.0000 0.0000 3.7907" Properties=species:S:1:pos:R:3 comment="CoWS2N (PBE, optimized geometry)" spacegroup="P4/mmm (123)" n_ef_per_ev_atom=0.99 formation_energy_uncorrected_kj_per_mol_atoms=52 rho_kg_m3=6103 polymorph_energy_kj_per_mol_fu=0.0 pbc="T T T"
Co 2.3997 2.3997 1.8953
N 0.0000 0.0000 1.8953
S 2.3997 0.0000 0.0000
S 0.0000 2.3997 0.0000
W 0.0000 0.0000 0.0000

***

# 3
8
Lattice="5.3949 0.0000 0.0000 0.0000 5.3949 0.0000 2.6974 2.6974 3.7970" Properties=species:S:1:pos:R:3 comment="ZrHRu2 (PBE, optimized geometry)" spacegroup="I-42d (122)" n_ef_per_ev_atom=0.26 rho_kg_m3=8846 polymorph_energy_kj_per_mol_fu=0.0 pbc="T T T"
H 2.6974 2.6974 0.0000
Ru 2.3182 4.0462 0.9493
Zr 0.0000 0.0000 0.0000
Ru 4.0462 5.0157 2.8478
Zr 5.3949 2.6974 1.8985
Ru 6.7436 5.7741 2.8478
Ru 3.0766 1.3487 0.9493
H 2.6974 5.3949 1.8985

***

# 4
4
Lattice="3.1384 0.0000 0.0000 0.0000 3.1384 0.0000 0.0000 0.0000 4.8331" Properties=species:S:1:pos:R:3 comment="Be2TcAs (PBE, optimized geometry)" spacegroup="P4/mmm (123)" n_ef_per_ev_atom=0.16 ef_ev_per_atom=-0.101 rho_kg_m3=6661 pbc="T T T"
Be 0.0000 0.0000 2.3066
As 1.5692 1.5692 3.6248
Be 0.0000 0.0000 0.1099
Tc 1.5692 1.5692 1.2083

***

# 5
12
Lattice="6.9513 0.0000 0.0000 0.0000 6.9513 0.0000 -3.4756 -3.4756 5.4102" Properties=species:S:1:pos:R:3 comment="ZnTcSn4 (PBE, optimized geometry)" spacegroup="I4/mcm (140)" n_ef_per_ev_atom=0.30 ef_ev_per_atom=-0.078 rho_kg_m3=8108 pbc="T T T"
Zn 0.0000 0.0000 0.0000
Zn 3.4756 3.4756 0.0000
Sn 1.0828 2.3929 1.5162
Sn -1.0828 2.3929 3.8939
Sn 5.8685 4.5584 1.5162
Sn 2.3929 5.8685 1.5162
Sn 4.5584 1.0828 1.5162
Tc 0.0000 0.0000 2.7051
Tc 3.4756 3.4756 2.7051
Sn 1.0828 -2.3929 3.8939
Sn 2.3929 1.0828 3.8939
Sn -2.3929 -1.0828 3.8939

***

# 6
4
Lattice="4.9352 -0.0255 -0.0359 4.1427 2.6824 -0.0359 1.2293 0.3598 4.5597" Properties=species:S:1:pos:R:3 comment="MnCdTc2 (PBE, optimized geometry)" spacegroup="C2/m (12)" n_ef_per_ev_atom=0.89 ef_ev_per_atom=0.333 rho_kg_m3=9895 pbc="T T T"
Tc 5.3039 1.5523 2.1150
Tc 8.9276 2.6129 0.0572
Mn 2.5768 0.7542 1.1220
Cd 7.7304 2.2625 3.3660

***

# 7
4
Lattice="-3.6576 -1.4722 0.9212 -0.7726 -3.9460 -0.4758 0.5358 -2.9443 6.3199" Properties=species:S:1:pos:R:3 comment="CeTmSiS (PBE, optimized geometry)" spacegroup="R3m (160)" n_ef_per_ev_atom=1.10 formation_energy_uncorrected_kj_per_mol_atoms=-126 rho_kg_m3=6552 pbc="T T T"
Si -4.0809 -5.6158 1.5166
S -1.6313 -4.3600 4.3517
Tm -0.6310 -2.2845 2.7421
Ce -2.5790 -6.4653 6.1223

***

# 8
4
Lattice="3.7538 0.0000 0.0000 0.0000 3.7538 0.0000 0.0000 0.0000 8.8859" Properties=species:S:1:pos:R:3 comment="La2PmZn (PBE, optimized geometry)" spacegroup="P4/mmm (123)" n_ef_per_ev_atom=1.19 ef_ev_per_atom=-0.144 rho_kg_m3=6475 polymorph_energy_kj_per_mol_fu=0.0 pbc="T T T"
Zn 1.8769 1.8769 0.0000
La 0.0000 0.0000 7.0168
Pm 1.8769 1.8769 4.4430
La 0.0000 0.0000 1.8691

***

Number 1: E -2.982 eV/atom. Number 2: E -6.785 eV/atom. Number 3: E -7.670 eV/atom. Number 4: E -5.718 eV/atom. Number 5: E -4.686 eV/atom. Number 6: E -7.371 eV/atom. Number 7: E -6.298 eV/atom. Number 8: E -4.114 eV/atom.